Density functional theory data (PBE) for NdSmGe2 after structural relaxation.

Results
formation energy from the elements	-857	meV/atom
Fermi-level density of states	2.912	states/eV/f.u.

Cell lengths 4.0599, 4.4455, 11.0340 Å; angles 90.00, 90.00, 90.00 degrees
Closest atoms and distances in Å follow each position.
Space group Amm2 (No. 38)
Asymmetric unit:
Nd 0.0000 0.0000 0.0000  7 Ge 3.07-3.30
Sm 0.5000 0.0000 0.2759  7 Ge 3.07-3.29
Ge 0.0000 0.0000 0.7208  2 Ge 2.72
Ge 0.5000 0.0000 0.5567  2 Ge 2.72